Entry 1:
This record from Alexandria describes a relaxed structure of ScSb2I2. The functional is GGA-PBE.

Results
- E above lowest polymorph (kJ/mol of atoms) = 0.0

a b c (Å): 3.992 3.992 24.819
angles (deg): 90.00 90.00 90.00
Positions (direct):
Sc 0.000 0.000 0.000
Sc 0.500 0.500 0.500
Sb 0.000 0.500 0.250
Sb 0.000 0.500 0.750
Sb 0.500 0.000 0.250
Sb 0.500 0.000 0.750
I 0.000 0.000 0.428
I 0.000 0.000 0.572
I 0.500 0.500 0.072
I 0.500 0.500 0.928

Entry 2:
This record from Alexandria describes a relaxed structure of ScSb3I. The functional is GGA-PBE.

Results
- E above lowest polymorph (kJ/mol of atoms) = 75.1

a b c (Å): 5.664 5.664 5.664
angles (deg): 90.00 90.00 90.00
Positions (direct):
Sc 0.000 0.000 0.000
Sb 0.000 0.500 0.500
Sb 0.500 0.000 0.500
Sb 0.500 0.500 0.000
I 0.500 0.500 0.500

Entry 3:
This record from Alexandria describes a relaxed structure of ScSb2I. The functional is GGA-PBE.

Results
- E above lowest polymorph (kJ/mol of atoms) = 35.3

a b c (Å): 7.623 7.623 7.623
angles (deg): 90.00 90.00 90.00
Positions (direct):
Sc 0.000 0.000 0.000
Sc 0.000 0.500 0.500
Sc 0.500 0.000 0.500
Sc 0.500 0.500 0.000
Sb 0.250 0.250 0.250
Sb 0.250 0.250 0.750
Sb 0.250 0.750 0.250
Sb 0.250 0.750 0.750
Sb 0.750 0.250 0.250
Sb 0.750 0.250 0.750
Sb 0.750 0.750 0.250
Sb 0.750 0.750 0.750
I 0.000 0.000 0.500
I 0.000 0.500 0.000
I 0.500 0.000 0.000
I 0.500 0.500 0.500

- What is the formula in the third record?
  ScSb2I